This record from Alexandria describes a geometry-optimized Y5ScAu6 structure. The functional is GGA-PBE.

```
Y5ScAu6
1.0
-2.5335 3.5498 7.6278
2.5335 -3.5498 7.6278
2.5335 3.5498 -7.6278
Y Sc Au
5 1 6
Cartesian
0.0000 0.0000 0.0000 Y
2.5335 0.0000 2.5244 Y
0.0000 0.0000 5.0576 Y
0.0000 0.0000 10.1980 Y
0.0000 3.5498 5.1034 Y
0.0000 3.5498 0.0000 Sc
2.5335 -1.7080 5.1765 Au
2.5335 1.8897 0.0000 Au
0.0000 1.8418 2.4513 Au
2.5335 1.7080 5.1765 Au
0.0000 1.6602 7.6278 Au
0.0000 5.2578 2.4513 Au
```

Properties
Energy of formation = -974 kJ/mol of formula units
Energy = -68.41 eV for the cell shown

***

This record from Alexandria describes a geometry-optimized LiAc4Rh2 structure. The functional is GGA-PBE.

```
LiAc4Rh2
1.0
7.6901 0.0000 0.0000
-1.4297 7.5641 0.0000
-2.5058 -3.0161 7.4801
Li Ac Rh
2 8 4
Cartesian
0.0000 0.0000 0.0000 Li
-1.9510 5.4670 3.7529 Li
0.0733 4.5111 1.2450 Ac
-0.1450 -0.6094 6.4426 Ac
1.3828 0.6667 2.6921 Ac
0.2674 3.1424 5.1749 Ac
3.7259 5.5848 1.3242 Ac
3.8692 -1.1821 4.9922 Ac
5.0011 1.7632 1.4319 Ac
4.2495 2.6046 5.0496 Ac
-1.5130 0.4386 3.8792 Rh
1.2472 7.0802 0.1343 Rh
2.3998 3.4449 2.7832 Rh
2.4002 0.9118 6.5356 Rh
```

Properties
Energy of formation = -261 kJ/mol of formula units
Energy = -71.52 eV for the cell shown

***

This record from Alexandria describes a geometry-optimized La4NiPd3 structure. The functional is GGA-PBE.

```
La4NiPd3
1.0
3.9563 0.0000 0.0000
0.0000 4.6284 0.0000
0.0000 0.0000 11.0375
La Ni Pd
4 1 3
Cartesian
0.0000 0.0000 0.0000 La
0.0000 2.3142 2.8947 La
1.9782 0.0000 5.3453 La
1.9782 2.3142 8.4145 La
1.9782 0.0000 2.3428 Ni
0.0000 0.0000 7.8900 Pd
0.0000 2.3142 5.9545 Pd
1.9782 2.3142 0.5109 Pd
```

Properties
Energy of formation = -537 kJ/mol of formula units
Energy = -46.63 eV for the cell shown

***

This record from Alexandria describes a geometry-optimized KTl3Os structure. The functional is GGA-PBE.

```
KTl3Os
1.0
5.3645 0.0000 0.0000
0.0000 5.3645 0.0000
0.0000 0.0000 5.3645
K Tl Os
1 3 1
Cartesian
0.0000 0.0000 0.0000 K
0.0000 2.6822 2.6822 Tl
2.6822 0.0000 2.6822 Tl
2.6822 2.6822 0.0000 Tl
2.6822 2.6822 2.6822 Os
```

Properties
Energy of formation = 99 kJ/mol of formula units
Energy = -18.40 eV for the cell shown
ΔE to the lowest computed polymorph = 0 meV/atom

***

This record from Alexandria describes a geometry-optimized Ac2Nd6Ho5 structure. The functional is GGA-PBE.

```
Ac2Nd6Ho5
1.0
12.0965 0.0000 0.0000
0.0000 20.6401 0.0000
0.0000 0.0000 3.7096
Ac Nd Ho
4 12 10
Cartesian
1.9651 4.5343 0.0000 Ac
4.0832 14.8544 0.0000 Ac
8.0134 5.7857 0.0000 Ac
10.1314 16.1058 0.0000 Ac
0.6851 19.0743 0.0000 Nd
0.9197 13.1370 0.0000 Nd
2.1888 7.8558 1.8548 Nd
3.8595 18.1758 1.8548 Nd
5.1285 2.8170 0.0000 Nd
5.3632 8.7543 0.0000 Nd
6.7333 11.8858 0.0000 Nd
6.9680 17.8231 0.0000 Nd
8.2370 2.4643 1.8548 Nd
9.9078 12.7843 1.8548 Nd
11.1768 7.5030 0.0000 Nd
11.4114 1.5658 0.0000 Nd
0.0000 10.3200 1.8548 Ho
1.1895 16.1086 1.8548 Ho
2.4408 1.1087 1.8548 Ho
3.6074 11.4287 1.8548 Ho
4.8588 5.7885 1.8548 Ho
6.0483 0.0000 1.8548 Ho
7.2377 14.8516 1.8548 Ho
8.4891 9.2113 1.8548 Ho
9.6557 19.5314 1.8548 Ho
10.9070 4.5315 1.8548 Ho
```

Properties
Energy of formation = 141 kJ/mol of formula units
Energy = -116.50 eV for the cell shown

***

This record from Alexandria describes a geometry-optimized Zn2TeAu structure. The functional is GGA-PBE.

```
Zn2TeAu
1.0
4.0610 0.0000 0.0000
0.0000 3.9029 0.0000
-1.8554 0.0000 5.3389
Zn Te Au
2 1 1
Cartesian
0.4994 0.0000 1.4616 Zn
1.7062 0.0000 3.8773 Zn
2.0305 1.9514 0.0000 Te
-0.9277 1.9514 2.6694 Au
```

Properties
Formation energy from raw total energies = 4 kJ/mol of formula units
Energy = -8.93 eV for the cell shown

***

This record from Alexandria describes a geometry-optimized LiPrP2Pt4 structure. The functional is GGA-PBE.

```
LiPrP2Pt4
1.0
4.0895 0.0000 0.0000
0.0000 4.0895 0.0000
0.0000 0.0000 9.0350
Li Pr P Pt
1 1 2 4
Cartesian
0.0000 0.0000 0.0000 Li
0.0000 0.0000 4.5175 Pr
2.0448 2.0448 1.0725 P
2.0448 2.0448 7.9625 P
0.0000 2.0448 2.2085 Pt
0.0000 2.0448 6.8265 Pt
2.0448 0.0000 2.2085 Pt
2.0448 0.0000 6.8265 Pt
```

Properties
Energy of formation = -527 kJ/mol of formula units
Energy = -47.13 eV for the cell shown

***

This record from Alexandria describes a geometry-optimized BeBiF3 structure. The functional is GGA-PBE.

```
BeBiF3
1.0
3.9639 0.0000 0.0000
0.0000 3.9639 0.0000
0.0000 0.0000 3.9639
Be Bi F
1 1 3
Cartesian
0.0000 0.0000 0.0000 Be
1.9820 1.9820 1.9820 Bi
0.0000 0.0000 1.9820 F
0.0000 1.9820 0.0000 F
1.9820 0.0000 0.0000 F
```

Properties
Formation energy from raw total energies = -794 kJ/mol of formula units
Energy = -21.45 eV for the cell shown
ΔE to the lowest computed polymorph = 0 meV/atom

***

This record from Alexandria describes a geometry-optimized Ba2Zn4CdSi3 structure. The functional is GGA-PBE.

```
Ba2Zn4CdSi3
1.0
4.4654 0.0000 0.0000
0.0000 4.4654 0.0000
0.0000 0.0000 10.9801
Ba Zn Cd Si
2 4 1 3
Cartesian
0.0000 2.2327 2.6128 Ba
2.2327 0.0000 8.3673 Ba
0.0000 0.0000 0.0000 Zn
0.0000 2.2327 7.0413 Zn
2.2327 0.0000 3.9387 Zn
2.2327 2.2327 0.0000 Zn
0.0000 0.0000 5.4900 Cd
0.0000 2.2327 9.6069 Si
2.2327 0.0000 1.3732 Si
2.2327 2.2327 5.4900 Si
```

Properties
Formation energy from raw total energies = -238 kJ/mol of formula units
Energy = -28.60 eV for the cell shown

***

This record from Alexandria describes a geometry-optimized NdFeNiGe2 structure. The functional is GGA-PBE.

```
NdFeNiGe2
1.0
-2.0754 2.0754 4.9947
2.0754 -2.0754 4.9947
2.0754 2.0754 -4.9947
Nd Fe Ni Ge
1 1 1 2
Cartesian
0.0000 0.0000 0.0000 Nd
0.0000 2.0754 2.4973 Fe
2.0754 0.0000 2.4973 Ni
0.0000 0.0000 3.6702 Ge
0.0000 0.0000 6.3192 Ge
```

Properties
Energy of formation = -272 kJ/mol of formula units
Energy = -31.06 eV for the cell shown

***

This record from Alexandria describes a geometry-optimized Mg2AlTl structure. The functional is GGA-PBE.

```
Mg2AlTl
1.0
5.2990 -1.6887 0.0000
5.2990 1.6887 0.0000
-1.0553 0.0000 5.0064
Mg Al Tl
2 1 1
Cartesian
0.0000 0.0000 0.0000 Mg
1.8084 0.0000 3.5516 Mg
7.6680 0.0000 0.9919 Al
4.6317 0.0000 2.4330 Tl
```

Properties
Energy of formation = 20 kJ/mol of formula units
Energy = -9.09 eV for the cell shown

***

This record from Alexandria describes a geometry-optimized Lu2RuI structure. The functional is GGA-PBE.

```
Lu2RuI
1.0
3.4404 0.0000 0.0000
0.0000 3.4404 0.0000
0.0000 0.0000 8.2453
Lu Ru I
2 1 1
Cartesian
0.0000 0.0000 1.6021 Lu
0.0000 0.0000 6.6433 Lu
1.7202 1.7202 0.0000 Ru
1.7202 1.7202 4.1227 I
```

Properties
Formation energy from raw total energies = -211 kJ/mol of formula units
Energy = -22.06 eV for the cell shown
ΔE to the lowest computed polymorph = 29 meV/atom

***

This record from Alexandria describes a geometry-optimized La2TeP structure. The functional is GGA-PBE.

```
La2TeP
1.0
3.8321 0.0000 0.0000
0.0000 3.8461 0.0000
-0.9332 0.0000 7.6241
La Te P
2 1 1
Cartesian
0.0603 0.0000 2.0931 La
2.8386 0.0000 5.5311 La
1.9161 1.9230 0.0000 Te
1.4495 1.9230 3.8121 P
```

Properties
Formation energy from raw total energies = -523 kJ/mol of formula units
Energy = -23.83 eV for the cell shown
ΔE to the lowest computed polymorph = 309 meV/atom

***

This record from Alexandria describes a geometry-optimized CeZr structure. The functional is GGA-PBE.

```
CeZr
1.0
3.7210 0.0000 0.0000
0.0000 3.7210 0.0000
0.0000 0.0000 3.7210
Ce Zr
1 1
Cartesian
0.0000 0.0000 0.0000 Ce
1.8605 1.8605 1.8605 Zr
```

Properties
Energy of formation = 50 kJ/mol of formula units
Energy = -13.97 eV for the cell shown

***

This record from Alexandria describes a geometry-optimized Cs2TlTcCl8 structure. The functional is GGA-PBE.

```
Cs2TlTcCl8
1.0
6.2657 0.0000 0.0000
-0.5826 8.1476 0.0000
-3.1109 -2.1076 7.8064
Cs Tl Tc Cl
2 1 1 8
Cartesian
0.6690 -0.1879 2.0593 Cs
1.9030 6.2278 5.7471 Cs
2.8415 4.0738 0.0000 Tl
-1.8468 3.0200 3.9032 Tc
-2.7444 3.0026 6.1144 Cl
-1.1311 5.2608 4.2163 Cl
-0.8564 -0.5985 7.2615 Cl
0.1685 2.2015 4.8322 Cl
2.4036 3.8384 2.9742 Cl
3.4285 6.6385 0.5449 Cl
3.7032 0.7792 3.5901 Cl
5.3165 3.0373 1.6920 Cl
```

Properties
Formation energy from raw total energies = -1329 kJ/mol of formula units
Energy = -42.98 eV for the cell shown

***

This record from Alexandria describes a geometry-optimized Sc4Hg5 structure. The functional is GGA-PBE.

```
Sc4Hg5
1.0
-4.5749 4.5749 2.4133
4.5749 -4.5749 2.4133
4.5749 4.5749 -2.4133
Sc Hg
4 5
Cartesian
2.9860 0.0000 0.0000 Sc
6.1638 0.0000 0.0000 Sc
0.0000 2.9860 0.0000 Sc
0.0000 6.1638 0.0000 Sc
0.0000 0.0000 0.0000 Hg
3.0109 3.0109 0.0000 Hg
1.5641 -1.5641 2.4133 Hg
-1.5641 1.5641 2.4133 Hg
1.5641 1.5641 2.4133 Hg
```

Properties
Energy of formation = -235 kJ/mol of formula units
Energy = -29.27 eV for the cell shown
ΔE to the lowest computed polymorph = 64 meV/atom

***

This record from Alexandria describes a geometry-optimized SrLuGaAu structure. The functional is GGA-PBE.

```
SrLuGaAu
1.0
0.0000 3.6843 3.6843
3.6843 0.0000 3.6843
3.6843 3.6843 0.0000
Sr Lu Ga Au
1 1 1 1
Cartesian
0.0000 0.0000 0.0000 Sr
3.6843 3.6843 3.6843 Lu
1.8421 1.8421 1.8421 Ga
5.5264 5.5264 5.5264 Au
```

Properties
Energy of formation = -203 kJ/mol of formula units
Energy = -14.62 eV for the cell shown

***

This record from Alexandria describes a geometry-optimized W3Br4 structure. The functional is GGA-PBE.

```
W3Br4
1.0
5.3562 0.0000 0.0000
-2.6781 4.6386 0.0000
0.0000 0.0000 6.0470
W Br
3 4
Cartesian
-1.3390 2.3193 0.0000 W
2.6781 0.0000 0.0000 W
1.3390 2.3193 0.0000 W
0.0000 0.0000 1.4629 Br
0.0000 0.0000 4.5841 Br
0.0000 3.0924 3.0235 Br
2.6781 1.5462 3.0235 Br
```

Properties
Formation energy from raw total energies = 944 kJ/mol of formula units
Energy = -35.77 eV for the cell shown

***

This record from Alexandria describes a geometry-optimized Zn2SbCl structure. The functional is GGA-PBE.

```
Zn2SbCl
1.0
3.1821 0.0000 0.0000
0.0000 5.5160 0.0000
-1.3011 0.0000 5.2116
Zn Sb Cl
2 1 1
Cartesian
0.3821 0.0000 1.2674 Zn
1.4989 0.0000 3.9441 Zn
0.9405 2.7580 2.6058 Sb
1.5911 2.7580 0.0000 Cl
```

Properties
Formation energy from raw total energies = 22 kJ/mol of formula units
Energy = -8.29 eV for the cell shown
ΔE to the lowest computed polymorph = 404 meV/atom

***

This record from Alexandria describes a geometry-optimized ZnAu4 structure. The functional is GGA-PBE.

```
ZnAu4
1.0
-1.4787 1.4787 9.9061
1.4787 -1.4787 9.9061
1.4787 1.4787 -9.9061
Zn Au
1 4
Cartesian
0.0000 0.0000 0.0000 Zn
0.0000 0.0000 3.9153 Au
0.0000 0.0000 8.1195 Au
0.0000 0.0000 11.6926 Au
0.0000 0.0000 15.8968 Au
```

Properties
Energy of formation = -43 kJ/mol of formula units
Energy = -14.83 eV for the cell shown